Below is a relaxed Ba4Ta3MnO12 crystal, with properties calculated at the GGA+U level.

a b c (Å): 8.3168 8.3168 8.3168
angles (deg): 90.00 90.00 90.00
Space group Im-3m (No. 229)
Asymmetric unit:
1 Ba 0.2500 0.2500 0.2500 x8
2 Ta 0.0000 0.0000 0.5000 x6
3 Mn 0.0000 0.0000 0.0000 x2
4 O 0.0000 0.0000 0.2640 x12
5 O 0.0000 0.2500 0.5000 x12

Computed properties:
**D(E_F)**: 0.198 states/eV per atom
**VASP energy**: -166.8 eV per formula unit